Here is a relaxed structure of LiGe2AuO6 from OQMD. Energies are from PBE.

Results
- V (Å³/atom) = 11.52
- SG = No. 15
- total energy (eV/atom) = -5.63

POSCAR file:
```
LiGe2AuO6
1.0
5.1117 -4.1098 0.0000
5.1117 4.1098 0.0000
-1.5955 0.0000 5.4854
O Ge Au Li
12 4 2 2
Cartesian
5.6965 -0.1303 2.3711
4.8988 0.1303 5.1138
3.4018 -3.0873 1.5363
2.2898 -2.4586 4.2475
5.5404 -2.4586 3.9807
3.7292 -0.1303 0.3716
6.0239 -3.0873 1.2064
3.0876 2.4586 1.5047
2.9314 0.1303 3.1143
5.2262 3.0873 3.9491
2.6040 3.0873 4.2790
6.3381 2.4586 1.2380
1.8307 -0.7745 4.1968
6.7973 0.7745 1.2886
2.6284 0.7745 1.4541
5.9995 -0.7745 4.0313
3.9151 -3.6123 4.1141
4.7129 3.6123 1.3713
4.7128 -1.6001 1.3713
3.9151 1.6001 4.1141
```

Here is a relaxed structure of Li4GePAu2 from OQMD. Energies are from PBE.

Results
- V (Å³/atom) = 14.62
- SG = No. 115
- total energy (eV/atom) = -3.52

POSCAR file:
```
Li4GePAu2
1.0
4.3114 0.0000 0.0000
0.0000 4.3114 0.0000
0.0000 0.0000 6.2901
Ge Li Au P
1 4 2 1
Cartesian
0.0000 0.0000 0.0000
0.0000 2.1557 1.6513
2.1557 2.1557 0.0000
0.0000 0.0000 3.1450
2.1557 0.0000 4.6388
2.1557 0.0000 1.5596
0.0000 2.1557 4.7305
2.1557 2.1557 3.1450
```

- Look up the V of the second one.
  14.62 Å³/atom

Copy entry 2 word for word.
Here is a relaxed structure of Li4GePAu2 from OQMD. Energies are from PBE.

Results
- V (Å³/atom) = 14.62
- SG = No. 115
- total energy (eV/atom) = -3.52

POSCAR file:
```
Li4GePAu2
1.0
4.3114 0.0000 0.0000
0.0000 4.3114 0.0000
0.0000 0.0000 6.2901
Ge Li Au P
1 4 2 1
Cartesian
0.0000 0.0000 0.0000
0.0000 2.1557 1.6513
2.1557 2.1557 0.0000
0.0000 0.0000 3.1450
2.1557 0.0000 4.6388
2.1557 0.0000 1.5596
0.0000 2.1557 4.7305
2.1557 2.1557 3.1450
```